## BaScSe3 (GGA-PBE)

Data for a relaxed BaScSe3 crystal.

```
10
Lattice="-5.5354 0.3244 0.7448 3.1963 -5.1078 4.9702 0.8875 6.9066 3.5857" Properties=species:S:1:pos:R:3 pbc="T T T"
Ba -2.3518 1.3347 2.9562
Ba 0.9002 0.7885 6.3445
Sc 0.9328 4.7020 4.8827
Sc -2.3845 -2.5789 4.4181
Se 0.3434 -2.9312 3.8305
Se -2.0864 -0.3608 5.6614
Se -1.6267 1.4339 8.2974
Se 0.1751 0.6892 1.0033
Se 0.6348 2.4840 3.6393
Se -1.7950 5.0544 5.4703
```

Properties
total magnetization = 0.00 μB/f.u.
ρ = 4.51 g cm⁻³
D(E_F) = 0.00 states/eV per atom
formation energy without anion corrections = -1613 meV per atom
symmetry = No. 12
total energy = -26.8 eV/f.u.

## CaHoCd (GGA-PBE)

Data for a relaxed CaHoCd crystal.

```
3
Lattice="3.6161 0.0000 0.0000 0.0000 5.3351 0.0000 0.0000 -2.6676 4.6204" Properties=species:S:1:pos:R:3 pbc="T T T"
Ca 1.3902 0.0000 3.0802
Ho 3.4120 0.0000 0.0000
Cd 2.4300 2.6676 1.5401
```

Properties
total magnetization = 0.00 μB/f.u.
ρ = 5.91 g cm⁻³
D(E_F) = 1.38 states/eV per atom
formation enthalpy at 0 K = -0.037 eV/atom
symmetry = No. 156
total energy = -7.6 eV/f.u.

## CaIn2O3 (GGA-PBE)

Data for a relaxed CaIn2O3 crystal.

```
12
Lattice="6.4806 0.0000 0.0000 0.0000 5.4067 2.2188 0.0000 0.7744 5.7927" Properties=species:S:1:pos:R:3 pbc="T T T"
O 4.8604 0.9918 3.1489
O 1.6201 5.1892 4.8627
O 4.8604 4.8851 2.6212
O 1.6201 1.2959 5.3903
O 4.8604 3.3869 6.2532
O 1.6201 2.7941 1.7583
Ca 1.6201 3.0903 4.0059
Ca 4.8604 3.0907 4.0056
In 3.2403 1.0304 1.3355
In 0.0000 5.1507 6.6760
In 3.2403 5.1507 6.6760
In 0.0000 1.0304 1.3355
```

Properties
total magnetization = 0.00 μB/f.u.
ρ = 5.50 g cm⁻³
D(E_F) = 0.53 states/eV per atom
formation energy without anion corrections = -1295 meV per atom
symmetry = No. 63
total energy = -30.1 eV/f.u.

## InSn2Pb2 (GGA-PBE)

Data for a relaxed InSn2Pb2 crystal.

```
10
Lattice="9.3662 0.0000 0.0000 0.0000 9.3662 0.0000 0.0000 0.0000 3.5524" Properties=species:S:1:pos:R:3 pbc="T T T"
Pb 6.0547 1.3716 0.0000
Pb 1.3716 3.3115 0.0000
Pb 3.3115 7.9945 0.0000
Pb 7.9945 6.0547 0.0000
Sn 7.9742 3.2911 1.7762
Sn 1.3920 6.0751 1.7762
Sn 6.0751 7.9742 1.7762
Sn 3.2911 1.3920 1.7762
In 4.6831 4.6831 0.0000
In 0.0000 0.0000 0.0000
```

Properties
total magnetization = 0.00 μB/f.u.
ρ = 8.17 g cm⁻³
D(E_F) = 0.55 states/eV per atom
formation enthalpy at 0 K = 0.108 eV/atom
symmetry = No. 127
total energy = -17.6 eV/f.u.

## Zr2MoCl (GGA-PBE)

Data for a relaxed Zr2MoCl crystal.

```
4
Lattice="3.0758 0.0152 0.0000 -1.1782 2.8412 0.0000 0.0000 0.0000 9.8827" Properties=species:S:1:pos:R:3 pbc="T T T"
Zr 0.9488 1.4282 2.5594
Zr 0.0000 0.0000 9.8327
Mo 0.9488 1.4282 7.7932
Cl 0.0000 0.0000 4.5215
```

Properties
total magnetization = 0.00 μB/f.u.
ρ = 6.02 g cm⁻³
D(E_F) = 1.28 states/eV per atom
formation energy without anion corrections = -6 meV per atom
symmetry = No. 35
total energy = -29.8 eV/f.u.

## Dy15Y2Th2 (GGA-PBE)

Data for a relaxed Dy15Y2Th2 crystal.

```
19
Lattice="-5.4530 0.4964 -6.7952 4.2054 -4.8611 -5.9026 -4.2688 -7.5792 0.6992" Properties=species:S:1:pos:R:3 pbc="T T T"
Dy -0.0115 -6.7667 -7.2897
Dy -1.7245 -6.7631 -1.2830
Dy -4.1022 -8.0787 -4.1028
Dy -2.1344 -3.7896 0.3496
Dy -1.4143 -3.8651 -7.8957
Dy 1.3054 -3.2525 -6.1706
Dy -4.6738 -4.1805 -7.7205
Dy -5.0975 -1.9283 -4.5450
Dy -4.6244 -5.1545 -1.5510
Dy -0.8427 -7.7634 -4.2781
Dy 2.1027 -2.4306 -2.9513
Dy 1.6610 -5.6772 -3.9204
Dy -2.7265 0.2482 -3.3976
Dy -2.5531 -1.1122 -6.5272
Dy -5.5050 -5.1772 -4.7089
Y -3.7679 -8.1579 -8.1953
Y -1.7486 -3.7859 -3.8033
Th -5.0326 -10.8963 -10.9462
Th -0.4838 -1.0476 -1.0524
```

Properties
total magnetization = 0.00 μB/f.u.
ρ = 8.10 g cm⁻³
D(E_F) = 1.63 states/eV per atom
formation enthalpy at 0 K = 0.287 eV/atom
symmetry = No. 166
total energy = -91.4 eV/f.u.